No. 1
Ca3La4In4 | PBE | optimized geometry

a b c (Å): 10.1672 10.1672 10.1672
angles (deg): 147.86 137.51 54.26
Fractional coordinates of all 11 atoms:
Ca 0.0000 0.0000 0.0000
Ca 0.3995 0.8995 0.5000
Ca 0.6005 0.1005 0.5000
La 0.0493 0.3210 0.7282
La 0.4072 0.6790 0.7282
La 0.5928 0.3210 0.2718
La 0.9507 0.6790 0.2718
In 0.1768 0.1768 0.0000
In 0.2985 0.5000 0.7985
In 0.7015 0.5000 0.2015
In 0.8232 0.8232 0.0000

DFT formation energy: -0.25 eV per atom
Total magnetization: 0.00 μB/atom

No. 2
TbTh2WN5 | PBE | optimized geometry

a b c (Å): 6.8290 6.8290 5.9207
angles (deg): 90.00 90.00 90.00
Fractional coordinates of all 18 atoms:
Tb 0.0000 0.0000 0.0000
Tb 0.5000 0.5000 0.0000
Th 0.1713 0.3287 0.5000
Th 0.3287 0.8287 0.5000
Th 0.6713 0.1713 0.5000
Th 0.8287 0.6713 0.5000
W 0.0000 0.5000 0.0000
W 0.5000 0.0000 0.0000
N 0.0000 0.0000 0.5000
N 0.1440 0.6440 0.2340
N 0.1440 0.6440 0.7660
N 0.3560 0.1440 0.2340
N 0.3560 0.1440 0.7660
N 0.5000 0.5000 0.5000
N 0.6440 0.8560 0.2340
N 0.6440 0.8560 0.7660
N 0.8560 0.3560 0.2340
N 0.8560 0.3560 0.7660

Total magnetization: 0.00 μB/atom
Formation energy from raw total energies: -1081 meV/atom

No. 3
PmSm5 | PBE | optimized geometry

a b c (Å): 5.1307 15.4291 5.1326
angles (deg): 90.00 90.00 90.00
Fractional coordinates of all 12 atoms:
Pm 0.0000 0.0000 0.0000
Pm 0.5000 0.5000 0.0000
Sm 0.0000 0.1668 0.5000
Sm 0.0000 0.3332 0.0000
Sm 0.0000 0.5000 0.5000
Sm 0.0000 0.6668 0.0000
Sm 0.0000 0.8332 0.5000
Sm 0.5000 0.0000 0.5000
Sm 0.5000 0.1668 0.0000
Sm 0.5000 0.3332 0.5000
Sm 0.5000 0.6668 0.5000
Sm 0.5000 0.8332 0.0000

DFT formation energy: 0.01 eV per atom
Total magnetization: 0.00 μB/atom

No. 4
K2VHgCl6 | PBE | optimized geometry

a b c (Å): 8.0748 8.0748 8.0748
angles (deg): 56.11 56.11 56.11
Fractional coordinates of all 10 atoms:
K 0.0000 0.0000 0.0000
K 0.4733 0.4733 0.4733
V 0.6700 0.6700 0.6700
Hg 0.1865 0.1865 0.1865
Cl 0.3479 0.8458 0.6132
Cl 0.4848 0.7333 0.9894
Cl 0.6132 0.3479 0.8458
Cl 0.7333 0.9894 0.4848
Cl 0.8458 0.6132 0.3479
Cl 0.9894 0.4848 0.7333

Total magnetization: 0.10 μB/atom
Formation energy from raw total energies: -1328 meV/atom

No. 5
PrTmCuPd | PBE | optimized geometry

a b c (Å): 4.6097 3.8212 10.5084
angles (deg): 90.00 90.00 90.00
Fractional coordinates of all 8 atoms:
Pr 0.0000 0.0000 0.0000
Pr 0.0000 0.5000 0.5000
Tm 0.5000 0.0000 0.2778
Tm 0.5000 0.5000 0.7778
Cu 0.0000 0.0000 0.7201
Cu 0.0000 0.5000 0.2201
Pd 0.5000 0.0000 0.5696
Pd 0.5000 0.5000 0.0696

DFT formation energy: -0.53 eV per atom
Distance to the lowest polymorph of the same formula: 0.0 meV per atom
Total magnetization: 0.00 μB/atom

No. 6
Th2HgPb2 | PBE | optimized geometry

a b c (Å): 6.4722 6.4722 10.6069
angles (deg): 100.71 100.71 42.61
Fractional coordinates of all 10 atoms:
Th 0.0529 0.0529 0.3552
Th 0.1586 0.1586 0.0675
Th 0.8414 0.8414 0.9325
Th 0.9471 0.9471 0.6448
Hg 0.2498 0.2498 0.7388
Hg 0.7502 0.7502 0.2612
Pb 0.3503 0.3503 0.4264
Pb 0.4541 0.4541 0.1403
Pb 0.5459 0.5459 0.8597
Pb 0.6497 0.6497 0.5736

DFT formation energy: -0.20 eV per atom
Total magnetization: 0.00 μB/atom

Record order is preserved below.
Volume: 375 276 406 339 185 295 Å³ per cell
Record order is preserved below.
Electronic total energy: -3.582 -9.308 -4.710 -3.598 -5.170 -4.714 eV/atom